1:
Material: DyEr3Sb3
Method: DFT, GGA-PBE
State: optimized geometry

Cell lengths 9.133, 9.133, 9.133 Å; angles 90.00, 90.00, 90.00 degrees
Positions (direct):
Sb 0.624 0.001 0.748
Sb 0.999 0.248 0.876
Sb 0.748 0.624 0.001
Sb 0.376 0.501 0.752
Sb 0.252 0.124 0.499
Sb 0.001 0.748 0.624
Sb 0.501 0.752 0.376
Sb 0.752 0.376 0.501
Sb 0.499 0.252 0.124
Sb 0.876 0.999 0.248
Sb 0.248 0.876 0.999
Sb 0.124 0.499 0.252
Er 0.074 0.426 0.574
Er 0.574 0.074 0.426
Er 0.322 0.178 0.822
Er 0.677 0.323 0.823
Er 0.426 0.574 0.074
Er 0.823 0.677 0.323
Er 0.822 0.322 0.178
Er 0.926 0.926 0.926
Er 0.177 0.177 0.177
Er 0.178 0.822 0.322
Er 0.323 0.823 0.677
Er 0.678 0.678 0.678
Dy 0.072 0.572 0.928
Dy 0.572 0.928 0.072
Dy 0.928 0.072 0.572
Dy 0.428 0.428 0.428

Calculated values
**DOS at the Fermi energy**: 25.90 states/eV per cell

=====

2:
Material: DyEr3Sb3
Method: DFT, GGA-PBE
State: optimized geometry

Cell lengths 8.900, 8.900, 7.974 Å; angles 56.08, 56.08, 60.00 degrees
Positions (direct):
Sb 0.921 0.529 0.248
Sb 0.471 0.698 0.752
Sb 0.079 0.471 0.752
Sb 0.698 0.079 0.752
Sb 0.529 0.302 0.248
Sb 0.302 0.921 0.248
Dy 0.334 0.334 0.998
Dy 0.666 0.666 0.002
Er 0.657 0.914 0.251
Er 0.914 0.178 0.251
Er 0.178 0.657 0.251
Er 0.086 0.822 0.749
Er 0.822 0.343 0.749
Er 0.343 0.086 0.749

Calculated values
**DOS at the Fermi energy**: 9.67 states/eV per cell

=====

1 is favored, and the nearest alternative lies 8.5 kJ/mol of atoms above it.

=====

1:
Material: Dy3ErSb2
Method: DFT, GGA-PBE
State: optimized geometry

Cell lengths 4.298, 10.418, 9.731 Å; angles 125.24, 90.00, 101.91 degrees
Last column: magnetic moment on the atom in μB.
Positions (direct):
Sb 0.749 0.498 0.221  0.00
Sb 0.493 0.985 0.830  0.00
Sb 0.251 0.502 0.779  0.00
Sb 0.507 0.015 0.170  0.00
Dy 0.688 0.377 0.483  0.17
Dy 0.645 0.291 0.814  0.01
Dy 0.945 0.889 0.565  0.08
Dy 0.312 0.623 0.517  0.17
Dy 0.355 0.709 0.186  0.01
Dy 0.055 0.111 0.435  0.08
Er 0.891 0.781 0.894  0.00
Er 0.109 0.219 0.106  0.00

Calculated values
**DOS at the Fermi energy**: 13.32 states/eV per cell

=====

2:
Material: Dy3ErSb2
Method: DFT, GGA-PBE
State: optimized geometry

Cell lengths 4.461, 4.461, 8.451 Å; angles 90.00, 90.00, 90.00 degrees
Positions (direct):
Sb 0.000 0.500 0.280
Sb 0.500 0.000 0.720
Er 0.500 0.500 0.000
Dy 0.000 0.000 0.000
Dy 0.000 0.500 0.650
Dy 0.500 0.000 0.350

Calculated values
**DOS at the Fermi energy**: 4.36 states/eV per cell

=====

2 is favored, and the nearest alternative lies 12.6 kJ/mol of atoms above it.

=====

1:
Material: Dy2ErSb
Method: DFT, GGA-PBE
State: optimized geometry

Cell lengths 4.769, 4.763, 4.763 Å; angles 90.00, 90.00, 90.00 degrees
Positions (direct):
Sb 0.500 0.500 0.500
Dy 0.000 0.500 0.000
Dy 0.000 0.000 0.500
Er 0.500 0.000 0.000

Calculated values
**DOS at the Fermi energy**: 4.93 states/eV per cell

=====

2:
Material: Dy2ErSb
Method: DFT, GGA-PBE
State: optimized geometry

Cell lengths 4.094, 6.424, 9.523 Å; angles 90.00, 90.00, 108.59 degrees
Positions (direct):
Sb 0.758 0.516 0.750
Sb 0.242 0.484 0.250
Dy 0.364 0.728 0.547
Dy 0.636 0.272 0.047
Dy 0.364 0.728 0.953
Dy 0.636 0.272 0.453
Er 0.060 0.120 0.750
Er 0.940 0.880 0.250

Calculated values
**DOS at the Fermi energy**: 11.99 states/eV per cell

=====

3:
Material: Dy2ErSb
Method: DFT, GGA-PBE
State: optimized geometry

Cell lengths 4.124, 4.124, 6.671 Å; angles 90.00, 90.00, 90.00 degrees
Positions (direct):
Dy 0.000 0.000 0.765
Dy 0.000 0.000 0.235
Er 0.500 0.500 0.500
Sb 0.500 0.500 0.000

Calculated values
**DOS at the Fermi energy**: 4.18 states/eV per cell

=====

4:
Material: Dy2ErSb
Method: DFT, GGA-PBE
State: optimized geometry

Cell lengths 3.987, 3.987, 9.681 Å; angles 78.12, 78.12, 60.00 degrees
Last column: magnetic moment on the atom in μB.
Positions (direct):
Dy 0.265 0.265 0.206  0.03
Dy 0.069 0.069 0.794  0.19
Sb 0.666 0.666 0.001  0.00
Er 0.500 0.500 0.499  0.27

Calculated values
**DOS at the Fermi energy**: 4.42 states/eV per cell

=====

2 is favored, and the nearest alternative lies 6.0 kJ/mol of atoms above it.

=====

1:
Material: DyErSb2
Method: DFT, GGA-PBE
State: optimized geometry

Cell lengths 4.335, 4.335, 7.805 Å; angles 73.88, 73.88, 60.00 degrees
Positions (direct):
Er 0.669 0.669 0.994
Dy 0.498 0.498 0.506
Sb 0.252 0.252 0.244
Sb 0.081 0.081 0.757

Calculated values
**DOS at the Fermi energy**: 0.44 states/eV per cell

=====

2:
Material: DyErSb2
Method: DFT, GGA-PBE
State: optimized geometry

Cell lengths 4.353, 4.353, 14.411 Å; angles 90.00, 90.00, 120.00 degrees
Positions (direct):
Sb 0.667 0.333 0.878
Sb 0.333 0.667 0.378
Sb 0.667 0.333 0.622
Sb 0.333 0.667 0.122
Er 0.000 0.000 0.500
Er 0.000 0.000 0.000
Dy 0.333 0.667 0.750
Dy 0.667 0.333 0.250

Calculated values
**DOS at the Fermi energy**: 1.45 states/eV per cell

=====

2 is favored, and the nearest alternative lies 3.5 kJ/mol of atoms above it.

=====

1:
Material: DyErSb2
Method: DFT, GGA-PBE
State: optimized geometry

Cell lengths 4.368, 4.368, 7.563 Å; angles 73.22, 73.22, 60.00 degrees
Positions (direct):
Sb 0.251 0.251 0.248
Sb 0.749 0.749 0.752
Er 0.000 0.000 0.000
Dy 0.500 0.500 0.500

Calculated values
**DOS at the Fermi energy**: 0.68 states/eV per cell

=====

2:
Material: DyErSb2
Method: DFT, GGA-PBE
State: optimized geometry

Cell lengths 4.345, 4.345, 7.435 Å; angles 90.00, 90.00, 120.00 degrees
Positions (direct):
Dy 0.000 0.500 0.500
Sb 0.333 0.167 0.248
Sb 0.667 0.833 0.752
Er 0.000 0.500 0.000

Calculated values
**DOS at the Fermi energy**: 0.75 states/eV per cell

=====

1 is favored, and the nearest alternative lies 6.2 kJ/mol of atoms above it.

=====

1:
Material: DyEr6Sc12
Method: DFT, GGA-PBE
State: optimized geometry

Cell lengths 8.961, 8.961, 8.961 Å; angles 110.79, 110.79, 110.79 degrees
Positions (direct):
Sc 0.178 0.396 0.396
Sc 0.396 0.178 0.396
Sc 0.215 0.500 0.785
Sc 0.500 0.785 0.215
Sc 0.604 0.604 0.822
Sc 0.500 0.215 0.785
Sc 0.785 0.215 0.500
Sc 0.396 0.396 0.178
Sc 0.785 0.500 0.215
Sc 0.604 0.822 0.604
Sc 0.822 0.604 0.604
Sc 0.215 0.785 0.500
Er 0.299 0.932 0.932
Er 0.932 0.299 0.932
Er 0.068 0.068 0.701
Er 0.068 0.701 0.068
Er 0.701 0.068 0.068
Er 0.932 0.932 0.299
Dy 0.000 0.000 0.000

Calculated values
**DOS at the Fermi energy**: 35.12 states/eV per cell

=====

2:
Material: DyEr6Sc12
Method: DFT, GGA-PBE
State: optimized geometry

Cell lengths 8.124, 8.124, 8.124 Å; angles 79.40, 79.40, 79.40 degrees
Positions (direct):
Sc 0.138 0.138 0.487
Sc 0.513 0.862 0.862
Sc 0.507 0.507 0.193
Sc 0.493 0.493 0.807
Sc 0.193 0.507 0.507
Sc 0.807 0.493 0.493
Sc 0.493 0.807 0.493
Sc 0.138 0.487 0.138
Sc 0.507 0.193 0.507
Sc 0.487 0.138 0.138
Sc 0.862 0.513 0.862
Sc 0.862 0.862 0.513
Er 0.761 0.165 0.761
Er 0.761 0.761 0.165
Er 0.165 0.761 0.761
Er 0.239 0.239 0.835
Er 0.835 0.239 0.239
Er 0.239 0.835 0.239
Dy 0.000 0.000 0.000

Calculated values
**DOS at the Fermi energy**: 26.56 states/eV per cell

=====

2 is favored, and the nearest alternative lies 14.5 kJ/mol of atoms above it.

=====

1:
Material: Dy4Er2Sc5
Method: DFT, GGA-PBE
State: optimized geometry

Cell lengths 4.836, 7.577, 9.012 Å; angles 75.94, 105.56, 90.00 degrees
Positions (direct):
Sc 0.227 0.370 0.454
Sc 0.861 0.188 0.722
Sc 0.773 0.630 0.546
Sc 0.500 0.000 0.000
Sc 0.139 0.812 0.278
Dy 0.682 0.086 0.364
Dy 0.046 0.265 0.091
Dy 0.318 0.914 0.636
Dy 0.954 0.735 0.909
Er 0.407 0.449 0.814
Er 0.593 0.551 0.186

Calculated values
**DOS at the Fermi energy**: 17.25 states/eV per cell

=====

2:
Material: Dy4Er2Sc5
Method: DFT, GGA-PBE
State: optimized geometry

Cell lengths 3.353, 8.358, 13.811 Å; angles 124.13, 96.97, 90.00 degrees
Positions (direct):
Er 0.272 0.368 0.544
Er 0.728 0.632 0.456
Dy 0.955 0.246 0.909
Dy 0.045 0.754 0.091
Dy 0.588 0.479 0.176
Dy 0.412 0.521 0.824
Sc 0.500 0.000 0.000
Sc 0.871 0.778 0.741
Sc 0.812 0.102 0.624
Sc 0.188 0.898 0.376
Sc 0.129 0.222 0.259

Calculated values
**DOS at the Fermi energy**: 18.51 states/eV per cell

=====

1 is favored, and the nearest alternative lies 8.8 kJ/mol of atoms above it.

=====

1:
Material: Dy2Er5Sc5
Method: DFT, GGA-PBE
State: optimized geometry

Cell lengths 5.403, 8.772, 8.464 Å; angles 65.61, 71.39, 72.06 degrees
Positions (direct):
Sc 0.348 0.275 0.029
Sc 0.570 0.125 0.735
Sc 0.430 0.875 0.265
Sc 0.500 0.500 0.500
Sc 0.652 0.725 0.971
Er 0.000 0.000 0.000
Er 0.820 0.861 0.500
Er 0.736 0.299 0.230
Er 0.264 0.701 0.770
Er 0.180 0.139 0.500
Dy 0.093 0.575 0.240
Dy 0.907 0.425 0.760

Calculated values
**DOS at the Fermi energy**: 23.69 states/eV per cell

=====

2:
Material: Dy2Er5Sc5
Method: DFT, GGA-PBE
State: optimized geometry

Cell lengths 4.814, 7.622, 10.796 Å; angles 115.03, 90.00, 108.41 degrees
Positions (direct):
Er 0.500 0.000 0.500
Er 0.412 0.825 0.748
Er 0.335 0.670 0.000
Er 0.588 0.175 0.252
Er 0.665 0.330 0.000
Sc 0.171 0.341 0.501
Sc 0.000 0.000 0.000
Sc 0.829 0.659 0.499
Sc 0.250 0.499 0.253
Sc 0.750 0.501 0.747
Dy 0.917 0.833 0.254
Dy 0.083 0.167 0.746

Calculated values
**DOS at the Fermi energy**: 18.06 states/eV per cell

=====

2 is favored, and the nearest alternative lies 3.2 kJ/mol of atoms above it.